# 1
A geometry-optimized LiReF3 structure. Source: Alexandria, functional PBE.

ΔE_f (raw) ... -505.1 kJ/mol of formula units
Energy above the lowest structure with this stoichiometry ... 73 meV per atom
E ... -5.0422 eV/atom

Unit cell a=4.2167 b=4.2167 c=4.2167 alpha=90.00 beta=90.00 gamma=90.00
Fractional positions:
F (0.0000, 0.0000, 0.5000)
F (0.5000, 0.0000, 0.0000)
F (0.0000, 0.5000, 0.0000)
Li (0.5000, 0.5000, 0.5000)
Re (0.0000, 0.0000, 0.0000)


# 2
A geometry-optimized LiRe3F structure. Source: Alexandria, functional PBE.

ΔE_f (raw) ... 974.9 kJ/mol of formula units
Energy above the lowest structure with this stoichiometry ... 535 meV per atom
E ... -6.2052 eV/atom

Unit cell a=4.1699 b=4.1699 c=4.1699 alpha=90.00 beta=90.00 gamma=90.00
Fractional positions:
Re (0.5000, 0.0000, 0.0000)
Re (0.0000, 0.5000, 0.0000)
Re (0.0000, 0.0000, 0.5000)
Li (0.0000, 0.0000, 0.0000)
F (0.5000, 0.5000, 0.5000)


# 3
A geometry-optimized LiRe3F structure. Source: Alexandria, functional PBE.

ΔE_f (raw) ... 716.7 kJ/mol of formula units
Energy above the lowest structure with this stoichiometry ... 0 meV per atom
E ... -6.7403 eV/atom

Unit cell a=4.2034 b=4.2034 c=4.2034 alpha=90.00 beta=90.00 gamma=90.00
Fractional positions:
F (0.0000, 0.0000, 0.0000)
Re (0.0000, 0.5000, 0.0000)
Re (0.0000, 0.0000, 0.5000)
Re (0.5000, 0.0000, 0.0000)
Li (0.5000, 0.5000, 0.5000)


# 4
A geometry-optimized LiRe2F structure. Source: Alexandria, functional PBE.

ΔE_f (raw) ... 390.2 kJ/mol of formula units
E ... -6.1593 eV/atom

Unit cell a=4.1222 b=4.1222 c=4.1222 alpha=60.00 beta=60.00 gamma=60.00
Fractional positions:
Re (0.2500, 0.2500, 0.2500)
Re (0.7500, 0.7500, 0.7500)
F (0.5000, 0.5000, 0.5000)
Li (0.0000, 0.0000, 0.0000)


# 5
A geometry-optimized LiReF6 structure. Source: Alexandria, functional PBE.

ΔE_f (raw) ... -1821.6 kJ/mol of formula units
E ... -5.5587 eV/atom

Unit cell a=5.2570 b=5.2577 c=5.5302 alpha=61.61 beta=61.61 gamma=59.99
Fractional positions:
Re (0.0000, 0.0000, 0.0000)
F (0.3426, 0.7586, 0.7585)
F (0.1405, 0.3424, 0.7586)
F (0.8595, 0.6576, 0.2414)
F (0.2413, 0.8595, 0.2416)
F (0.7587, 0.1405, 0.7584)
F (0.6574, 0.2414, 0.2415)
Li (0.5000, 0.5000, 0.5000)


# 6
A geometry-optimized Li3ReF9 structure. Source: Alexandria, functional PBE.

ΔE_f (raw) ... -2914.9 kJ/mol of formula units
E ... -5.0186 eV/atom

Unit cell a=7.6423 b=8.1811 c=8.9503 alpha=70.33 beta=64.73 gamma=62.16
Fractional positions:
Li (0.4486, 0.7509, 0.2428)
Li (0.5577, 0.2509, 0.7428)
Li (0.9660, 0.9813, 0.8206)
Li (0.7744, 0.5204, 0.6689)
Li (0.0363, 0.0204, 0.1689)
Li (0.2321, 0.4813, 0.3206)
F (0.4561, 0.1991, 0.5847)
F (0.7580, 0.0265, 0.7556)
F (0.0035, 0.5012, 0.4950)
F (0.5463, 0.8019, 0.4048)
F (0.2468, 0.9745, 0.2311)
F (0.0997, 0.6736, 0.8228)
F (0.7601, 0.6991, 0.0847)
F (0.2277, 0.0125, 0.6236)
F (0.4039, 0.1736, 0.3228)
F (0.1362, 0.5125, 0.1236)
F (0.8705, 0.4882, 0.8662)
F (0.7752, 0.9882, 0.3662)
F (0.9069, 0.3272, 0.1668)
F (0.5475, 0.4745, 0.7311)
F (0.4600, 0.5265, 0.2556)
F (0.0004, 0.0012, 0.9950)
F (0.5991, 0.8272, 0.6668)
F (0.2470, 0.3019, 0.9048)
Re (0.5014, 0.0003, 0.4948)
Re (0.0035, 0.5003, 0.9948)


# 7
A geometry-optimized LiReF5 structure. Source: Alexandria, functional PBE.

ΔE_f (raw) ... -1535.0 kJ/mol of formula units
E ... -5.6610 eV/atom

Unit cell a=5.5327 b=5.5327 c=7.7859 alpha=68.89 beta=68.89 gamma=83.01
Fractional positions:
F (0.3044, 0.2304, 0.8529)
F (0.2228, 0.7110, 0.9511)
F (0.6956, 0.7696, 0.1471)
F (0.9164, 0.0836, 0.7500)
F (0.7110, 0.2228, 0.4511)
F (0.7772, 0.2891, 0.0489)
F (0.7696, 0.6956, 0.6471)
F (0.0836, 0.9164, 0.2500)
F (0.2304, 0.3044, 0.3529)
F (0.2891, 0.7772, 0.5489)
Re (0.0000, 0.0000, 0.5000)
Re (0.0000, 0.0000, 0.0000)
Li (0.5762, 0.4238, 0.2500)
Li (0.4238, 0.5762, 0.7500)


# 8
A geometry-optimized Li2Re4F structure. Source: Alexandria, functional PBE.

ΔE_f (raw) ... 1025.2 kJ/mol of formula units
E ... -6.4094 eV/atom

Unit cell a=3.8321 b=3.8321 c=7.5934 alpha=75.38 beta=75.38 gamma=90.00
Fractional positions:
Li (0.6270, 0.6270, 0.7460)
Li (0.3730, 0.3730, 0.2540)
Re (0.0000, 0.5000, 0.0000)
Re (0.7952, 0.7952, 0.4096)
Re (0.5000, 0.0000, 0.0000)
Re (0.2048, 0.2048, 0.5904)
F (0.0000, 0.0000, 0.0000)


# 9
A geometry-optimized LiReF3 structure. Source: Alexandria, functional PBE.

ΔE_f (raw) ... -540.2 kJ/mol of formula units
Energy above the lowest structure with this stoichiometry ... 0 meV per atom
E ... -5.1149 eV/atom

Unit cell a=3.8154 b=3.8154 c=3.8154 alpha=90.00 beta=90.00 gamma=90.00
Fractional positions:
F (0.0000, 0.5000, 0.0000)
F (0.0000, 0.0000, 0.5000)
F (0.5000, 0.0000, 0.0000)
Re (0.5000, 0.5000, 0.5000)
Li (0.0000, 0.0000, 0.0000)


# 10
A geometry-optimized LiRe2RhF structure. Source: Alexandria, functional PBE.

ΔE_f (raw) ... 541.4 kJ/mol of formula units
E ... -6.0843 eV/atom

Unit cell a=4.0047 b=4.6678 c=4.0047 alpha=90.00 beta=90.00 gamma=90.00
Fractional positions:
Re (0.0000, 0.0000, 0.5000)
Re (0.5000, 0.0000, 0.0000)
Li (0.5000, 0.5000, 0.5000)
F (0.0000, 0.0000, 0.0000)
Rh (0.0000, 0.5000, 0.0000)


# 11
A geometry-optimized LiScRe2F structure. Source: Alexandria, functional PBE.

ΔE_f (raw) ... 278.1 kJ/mol of formula units
E ... -6.4261 eV/atom

Unit cell a=4.1925 b=4.3974 c=4.1925 alpha=90.00 beta=90.00 gamma=90.00
Fractional positions:
F (0.0000, 0.0000, 0.0000)
Re (0.5000, 0.0000, 0.0000)
Re (0.0000, 0.0000, 0.5000)
Li (0.5000, 0.5000, 0.5000)
Sc (0.0000, 0.5000, 0.0000)


# 12
A geometry-optimized LiReSnF2 structure. Source: Alexandria, functional PBE.

ΔE_f (raw) ... -128.1 kJ/mol of formula units
E ... -4.6871 eV/atom

Unit cell a=4.0220 b=5.6237 c=4.0220 alpha=90.00 beta=90.00 gamma=90.00
Fractional positions:
F (0.0000, 0.0000, 0.5000)
F (0.5000, 0.0000, 0.0000)
Li (0.0000, 0.5000, 0.0000)
Sn (0.5000, 0.5000, 0.5000)
Re (0.0000, 0.0000, 0.0000)


Copy entry 11 word for word.
A geometry-optimized LiScRe2F structure. Source: Alexandria, functional PBE.

ΔE_f (raw) ... 278.1 kJ/mol of formula units
E ... -6.4261 eV/atom

Unit cell a=4.1925 b=4.3974 c=4.1925 alpha=90.00 beta=90.00 gamma=90.00
Fractional positions:
F (0.0000, 0.0000, 0.0000)
Re (0.5000, 0.0000, 0.0000)
Re (0.0000, 0.0000, 0.5000)
Li (0.5000, 0.5000, 0.5000)
Sc (0.0000, 0.5000, 0.0000)